w:
A plane-wave DFT calculation with GGA-PBE was carried out for LiReCl after structural relaxation.

- volume (Å³/atom) = 14.76

a b c (Å): 4.3416 4.3416 2.7118
angles (deg): 90.00 90.00 120.00
Space group P-6m2 (No. 187)
Asymmetric unit:
Li1 0.0000 0.0000 0.0000 [1 per cell]
Re1 0.6667 0.3333 0.5000 [1 per cell]
Cl1 0.3333 0.6667 0.5000 [1 per cell]

x:
A plane-wave DFT calculation with GGA-PBE was carried out for LiReCl after structural relaxation.

- volume (Å³/atom) = 15.30

a b c (Å): 2.883 5.047 12.620
angles (deg): 90.00 90.00 90.00
Space group Fmm2 (No. 42)
Asymmetric unit:
Li1 0.000 0.000 0.000 [4 per cell]
Re1 0.000 0.000 0.316 [4 per cell]
Cl1 0.000 0.000 0.650 [4 per cell]

y:
A plane-wave DFT calculation with GGA-PBE was carried out for LiReCl after structural relaxation.

- volume (Å³/atom) = 15.15

a b c (Å): 2.781 2.781 11.753
angles (deg): 90.00 90.00 90.00
Space group I4mm (No. 107)
Asymmetric unit:
Li1 0.000 0.000 0.000 [2 per cell]
Re1 0.000 0.000 0.679 [2 per cell]
Cl1 0.000 0.000 0.349 [2 per cell]

z:
A plane-wave DFT calculation with GGA-PBE was carried out for LiReCl after structural relaxation.

- volume (Å³/atom) = 14.84

a b c (Å): 2.8985 2.8985 6.1192
angles (deg): 90.00 90.00 120.00
Space group P3m1 (No. 156)
Asymmetric unit:
Li1 0.0000 0.0000 0.0000 [1 per cell]
Re1 0.6667 0.3333 0.3657 [1 per cell]
Cl1 0.3333 0.6667 0.6896 [1 per cell]

How far above the most stable structure does each one sit? In meV per atom: w 393; x 70; y 200; z 0.

w:
A plane-wave DFT calculation with GGA-PBE was carried out for Li3ReCl after structural relaxation.

- volume (Å³/atom) = 18.31

a b c (Å): 4.507 4.507 4.507
angles (deg): 90.00 90.00 90.00
Space group Pm-3m (No. 221)
Asymmetric unit:
Li1 0.000 0.000 0.500 [3 per cell]
Re1 0.500 0.500 0.500 [1 per cell]
Cl1 0.000 0.000 0.000 [1 per cell]

x:
A plane-wave DFT calculation with GGA-PBE was carried out for Li3ReCl after structural relaxation.

- volume (Å³/atom) = 27.57

a b c (Å): 5.166 5.166 5.166
angles (deg): 90.00 90.00 90.00
Space group Pm-3m (No. 221)
Asymmetric unit:
Li1 0.000 0.000 0.500 [3 per cell]
Re1 0.000 0.000 0.000 [1 per cell]
Cl1 0.500 0.500 0.500 [1 per cell]

How far above the most stable structure does each one sit? In meV per atom: w 0; x 473.

w:
A plane-wave DFT calculation with GGA-PBE was carried out for LiReSCl2 after structural relaxation.

- volume (Å³/atom) = 20.30

a b c (Å): 4.188 4.188 5.786
angles (deg): 90.00 90.00 90.00
Space group P4/mmm (No. 123)
Asymmetric unit:
Li1 0.000 0.000 0.000 [1 per cell]
Re1 0.500 0.500 0.500 [1 per cell]
S1 0.000 0.000 0.500 [1 per cell]
Cl1 0.000 0.500 0.000 [2 per cell]

x:
A plane-wave DFT calculation with GGA-PBE was carried out for LiReSCl2 after structural relaxation.

- volume (Å³/atom) = 22.57

a b c (Å): 5.026 5.026 4.467
angles (deg): 90.00 90.00 90.00
Space group P4/mmm (No. 123)
Asymmetric unit:
Li1 0.000 0.000 0.000 [1 per cell]
Re1 0.500 0.500 0.500 [1 per cell]
S1 0.500 0.500 0.000 [1 per cell]
Cl1 0.000 0.500 0.500 [2 per cell]

How far above the most stable structure does each one sit? In meV per atom: w 848; x 0.

w:
A plane-wave DFT calculation with GGA-PBE was carried out for LiRhCl2 after structural relaxation.

- volume (Å³/atom) = 17.01

a b c (Å): 6.480 6.480 6.480
angles (deg): 90.00 90.00 90.00
Space group Fm-3m (No. 225)
Asymmetric unit:
Li1 0.000 0.000 0.000 [4 per cell]
Rh1 0.000 0.000 0.500 [4 per cell]
Cl1 0.250 0.250 0.250 [8 per cell]

x:
A plane-wave DFT calculation with GGA-PBE was carried out for LiRhCl2 after structural relaxation.

- volume (Å³/atom) = 20.19

a b c (Å): 12.946 3.520 3.545
angles (deg): 90.00 90.29 90.00
Space group Cm (No. 8)
Asymmetric unit:
Li1 0.000 0.000 0.000 [2 per cell]
Rh1 0.170 0.500 0.509 [2 per cell]
Cl1 0.197 0.000 0.009 [2 per cell]
Cl2 0.470 0.000 0.500 [2 per cell]

y:
A plane-wave DFT calculation with GGA-PBE was carried out for LiRhCl2 after structural relaxation.

- volume (Å³/atom) = 24.05

a b c (Å): 4.0266 4.0266 20.5521
angles (deg): 90.00 90.00 120.00
Space group R-3m (No. 166, hexagonal axes)
Asymmetric unit:
Li1 0.0000 0.0000 0.0000 [3 per cell]
Rh1 0.0000 0.0000 0.5000 [3 per cell]
Cl1 0.0000 0.0000 0.1061 [6 per cell]

How far above the most stable structure does each one sit? In meV per atom: w 218; x 0; y 141.

w:
A plane-wave DFT calculation with GGA-PBE was carried out for LiRhCl2 after structural relaxation.

- volume (Å³/atom) = 18.23

a b c (Å): 6.632 6.632 6.632
angles (deg): 90.00 90.00 90.00
Space group F-43m (No. 216)
Asymmetric unit:
Li1 0.000 0.000 0.000 [4 per cell]
Rh1 0.250 0.250 0.250 [4 per cell]
Cl1 0.000 0.000 0.500 [4 per cell]
Cl2 0.250 0.250 0.750 [4 per cell]

x:
A plane-wave DFT calculation with GGA-PBE was carried out for LiRhCl2 after structural relaxation.

- volume (Å³/atom) = 21.77

a b c (Å): 5.671 5.671 10.832
angles (deg): 90.00 90.00 90.00
Space group I-42d (No. 122)
Asymmetric unit:
Li1 0.000 0.000 0.000 [4 per cell]
Rh1 0.000 0.000 0.500 [4 per cell]
Cl1 0.233 0.250 0.125 [8 per cell]

y:
A plane-wave DFT calculation with GGA-PBE was carried out for LiRhCl2 after structural relaxation.

- volume (Å³/atom) = 16.78

a b c (Å): 3.624 3.624 5.109
angles (deg): 90.00 90.00 90.00
Space group P4/mmm (No. 123)
Asymmetric unit:
Li1 0.000 0.000 0.000 [1 per cell]
Rh1 0.500 0.500 0.500 [1 per cell]
Cl1 0.000 0.000 0.500 [1 per cell]
Cl2 0.500 0.500 0.000 [1 per cell]

How far above the most stable structure does each one sit? In meV per atom: w 853; x 86; y 0.

w:
A plane-wave DFT calculation with GGA-PBE was carried out for LiRhCl2 after structural relaxation.

- volume (Å³/atom) = 19.77

a b c (Å): 3.494 6.533 6.929
angles (deg): 90.00 90.00 90.00
Space group Immm (No. 71)
Asymmetric unit:
Li1 0.000 0.000 0.000 [2 per cell]
Rh1 0.000 0.000 0.500 [2 per cell]
Cl1 0.000 0.500 0.230 [4 per cell]

x:
A plane-wave DFT calculation with GGA-PBE was carried out for LiRhCl2 after structural relaxation.

- volume (Å³/atom) = 22.88

a b c (Å): 5.127 3.442 5.219
angles (deg): 90.00 96.31 90.00
Space group P2/m (No. 10)
Asymmetric unit:
Li1 0.000 0.000 0.000 [1 per cell]
Rh1 0.000 0.000 0.500 [1 per cell]
Cl1 0.236 0.500 0.730 [2 per cell]

How far above the most stable structure does each one sit? In meV per atom: w 94; x 0.

w:
A plane-wave DFT calculation with GGA-PBE was carried out for LiRhCl2 after structural relaxation.

- volume (Å³/atom) = 21.61

a b c (Å): 3.420 3.437 7.353
angles (deg): 90.00 90.00 90.00
Space group Pmmm (No. 47)
Asymmetric unit:
Li1 0.000 0.000 0.000 [1 per cell]
Rh1 0.500 0.000 0.500 [1 per cell]
Cl1 0.000 0.500 0.500 [1 per cell]
Cl2 0.500 0.500 0.000 [1 per cell]

x:
A plane-wave DFT calculation with GGA-PBE was carried out for LiRhCl2 after structural relaxation.

- volume (Å³/atom) = 18.67

a b c (Å): 3.579 5.016 4.481
angles (deg): 90.00 111.86 90.00
Space group Pm (No. 6)
Asymmetric unit:
Li1 0.000 0.000 0.000 [1 per cell]
Rh1 0.288 0.500 0.641 [1 per cell]
Cl1 0.319 0.000 0.615 [1 per cell]
Cl2 0.978 0.500 0.072 [1 per cell]

How far above the most stable structure does each one sit? In meV per atom: w 111; x 0.

w:
A plane-wave DFT calculation with GGA-PBE was carried out for LiRhCl2 after structural relaxation.

- volume (Å³/atom) = 19.01

a b c (Å): 3.500 6.322 6.874
angles (deg): 90.00 90.00 90.00
Space group Cmmm (No. 65)
Asymmetric unit:
Li1 0.000 0.000 0.000 [2 per cell]
Rh1 0.000 0.000 0.500 [2 per cell]
Cl1 0.000 0.500 0.244 [4 per cell]

x:
A plane-wave DFT calculation with GGA-PBE was carried out for LiRhCl2 after structural relaxation.

- volume (Å³/atom) = 21.64

a b c (Å): 3.426 3.426 14.753
angles (deg): 90.00 90.00 90.00
Space group I-4m2 (No. 119)
Asymmetric unit:
Li1 0.000 0.000 0.000 [2 per cell]
Rh1 0.000 0.500 0.750 [2 per cell]
Cl1 0.000 0.000 0.500 [2 per cell]
Cl2 0.000 0.500 0.250 [2 per cell]

y:
A plane-wave DFT calculation with GGA-PBE was carried out for LiRhCl2 after structural relaxation.

- volume (Å³/atom) = 15.82

a b c (Å): 4.501 4.501 3.125
angles (deg): 90.00 90.00 90.00
Space group P4/mmm (No. 123)
Asymmetric unit:
Li1 0.000 0.000 0.000 [1 per cell]
Rh1 0.500 0.500 0.000 [1 per cell]
Cl1 0.000 0.500 0.500 [2 per cell]

How far above the most stable structure does each one sit? In meV per atom: w 18; x 0; y 109.